[1]
Computed, not measured: an optimized crystal structure of TmAlZnRu at the GGA-PBE level of DFT.

Computed properties:
The value obtained for the formation energy is -0.323 eV per atom. For the total magnetization, the calculation gives 0.0 μB per formula unit. The calculation puts the volume at 68.05 Å³/cell. The density of states at the Fermi level is 3.09 states/eV/cell.

Cell: 4.583 4.583 4.583 Å, 60.00 60.00 60.00°
Fractional positions:
Ru1 0.750 0.750 0.750
Zn1 0.250 0.250 0.250
Tm1 0.000 0.000 0.000
Al1 0.500 0.500 0.500

[2]
Computed, not measured: an optimized crystal structure of TmZrAlRu at the GGA-PBE level of DFT.

Computed properties:
The value obtained for the formation energy is -0.392 eV per atom. For the total magnetization, the calculation gives 0.0 μB per formula unit. The calculation puts the volume at 78.20 Å³/cell. The density of states at the Fermi level is 1.74 states/eV/cell.

Cell: 4.800 4.800 4.800 Å, 60.00 60.00 60.00°
Fractional positions:
Ru1 0.750 0.750 0.750
Tm1 0.500 0.500 0.500
Al1 0.250 0.250 0.250
Zr1 0.000 0.000 0.000

[3]
Computed, not measured: an optimized crystal structure of U2AlRu at the GGA-PBE level of DFT.

Computed properties:
The value obtained for the formation energy is 0.289 eV per atom. For the total magnetization, the calculation gives 0.5 μB per formula unit. The calculation puts the volume at 77.96 Å³/cell. The density of states at the Fermi level is 6.99 states/eV/cell.

Cell: 2.915 2.915 10.728 Å, 82.19 82.19 60.00°
Fractional positions:
Ru1 0.500 0.500 0.500
U1 0.093 0.093 0.721
U2 0.907 0.907 0.279
Al1 0.000 0.000 0.000

[4]
Computed, not measured: an optimized crystal structure of UAlRu2 at the GGA-PBE level of DFT.

Computed properties:
The value obtained for the formation energy is -0.416 eV per atom. For the total magnetization, the calculation gives 1.0 μB per formula unit. The calculation puts the volume at 63.98 Å³/cell. The density of states at the Fermi level is 3.91 states/eV/cell.

Cell: 3.065 3.065 6.812 Å, 90.00 90.00 90.00°
Fractional positions:
Ru1 0.000 0.000 0.780
Ru2 0.000 0.000 0.220
U1 0.500 0.500 0.500
Al1 0.500 0.500 0.000

[5]
Computed, not measured: an optimized crystal structure of UAl5Ru6 at the GGA-PBE level of DFT.

Computed properties:
The value obtained for the formation energy is -0.679 eV per atom. For the total magnetization, the calculation gives 0.0 μB per formula unit. The calculation puts the volume at 173.88 Å³/cell. The density of states at the Fermi level is 5.86 states/eV/cell.

Cell: 4.354 6.196 6.806 Å, 90.00 71.27 90.00°
Fractional positions:
Ru1 0.833 0.748 0.334
Ru2 0.833 0.252 0.334
Ru3 0.500 0.260 0.000
Ru4 0.500 0.740 0.000
Ru5 0.167 0.748 0.666
Ru6 0.167 0.252 0.666
U1 0.000 0.000 0.000
Al1 0.668 0.500 0.663
Al2 0.327 0.000 0.346
Al3 0.000 0.500 0.000
Al4 0.673 0.000 0.654
Al5 0.332 0.500 0.337

[6]
Computed, not measured: an optimized crystal structure of UAl11Ru at the GGA-PBE level of DFT.

Computed properties:
The value obtained for the formation energy is -0.188 eV per atom. For the total magnetization, the calculation gives 2.8 μB per formula unit. The calculation puts the volume at 217.21 Å³/cell. The density of states at the Fermi level is 11.02 states/eV/cell.

Cell: 5.204 7.086 6.822 Å, 82.18 67.58 69.10°
Fractional positions:
U1 0.000 0.000 0.000
Al1 0.287 0.220 0.212
Al2 0.713 0.780 0.788
Al3 0.501 0.780 0.212
Al4 0.499 0.220 0.788
Al5 0.362 0.643 0.654
Al6 0.638 0.357 0.346
Al7 0.984 0.357 0.654
Al8 0.016 0.643 0.346
Al9 0.000 0.500 0.000
Al10 0.500 0.000 0.500
Al11 0.000 0.000 0.500
Ru1 0.500 0.500 0.000